w:
## LaAl2Pd2 (SCAN)

Data for LaAl2Pd2 at its PBEsol-relaxed geometry.

Summary:
* spin magnetization: 0.00 μB/f.u.
* crystal system: tetragonal
* density of states at the Fermi level: 3.456 states/eV/f.u.

Unit cell a=5.969 b=5.969 c=5.969 alpha=137.19 beta=137.19 gamma=62.14
Atoms (fractional coordinates):
La  0.000  0.000  0.000
Al  0.368  0.368  0.000
Al  0.632  0.632  0.000
Pd  0.250  0.750  0.500
Pd  0.750  0.250  0.500

***

x:
## LaAl2Pd2 (SCAN)

Data for LaAl2Pd2 at its PBEsol-relaxed geometry.

Summary:
* spin magnetization: 0.00 μB/f.u.
* crystal system: tetragonal
* density of states at the Fermi level: 3.581 states/eV/f.u.

Unit cell a=4.386 b=4.386 c=9.986 alpha=90.00 beta=90.00 gamma=90.00
Atoms (fractional coordinates):
La  0.250  0.250  0.246
La  0.750  0.750  0.754
Al  0.250  0.250  0.878
Al  0.250  0.750  0.500
Al  0.750  0.250  0.500
Al  0.750  0.750  0.122
Pd  0.250  0.250  0.629
Pd  0.250  0.750  0.000
Pd  0.750  0.250  0.000
Pd  0.750  0.750  0.371

***

It is x that is the most stable of them.

***

w:
## LaSc2Al2 (SCAN)

Data for LaSc2Al2 at its PBEsol-relaxed geometry.

Summary:
* spin magnetization: 0.00 μB/f.u.
* crystal system: tetragonal
* density of states at the Fermi level: 3.122 states/eV/f.u.

Unit cell a=7.053 b=7.053 c=7.053 alpha=143.51 beta=143.51 gamma=52.55
Atoms (fractional coordinates):
La  0.000  0.000  0.000
Sc  0.250  0.750  0.500
Sc  0.750  0.250  0.500
Al  0.399  0.399  0.000
Al  0.601  0.601  0.000

***

x:
## LaSc2Al2 (SCAN)

Data for LaSc2Al2 at its PBEsol-relaxed geometry.

Summary:
* spin magnetization: 0.07 μB/f.u.
* crystal system: tetragonal
* density of states at the Fermi level: 3.351 states/eV/f.u.

Unit cell a=8.504 b=8.504 c=3.075 alpha=90.00 beta=90.00 gamma=90.00
Atoms (fractional coordinates):
La  0.000  0.000  0.000
La  0.500  0.500  0.000
Sc  0.125  0.375  0.000
Sc  0.375  0.875  0.000
Sc  0.625  0.125  0.000
Sc  0.875  0.625  0.000
Al  0.172  0.672  0.500
Al  0.328  0.172  0.500
Al  0.672  0.828  0.500
Al  0.828  0.328  0.500

***

It is x that is the most stable of them.

***

w:
## LaAlSe (SCAN)

Data for LaAlSe at its PBEsol-relaxed geometry.

Summary:
* spin magnetization: 0.44 μB/f.u.
* crystal system: trigonal
* density of states at the Fermi level: 2.174 states/eV/f.u.

Unit cell a=3.622 b=3.622 c=6.492 alpha=90.00 beta=90.00 gamma=120.00
Atoms (fractional coordinates):
La  0.000  0.000  0.000
Al  0.333  0.667  0.407
Se  0.667  0.333  0.646

***

x:
## LaAlSe (SCAN)

Data for LaAlSe at its PBEsol-relaxed geometry.

Summary:
* spin magnetization: 0.00 μB/f.u.
* crystal system: cubic
* density of states at the Fermi level: 1.008 states/eV/f.u.

Unit cell a=4.869 b=4.869 c=4.869 alpha=60.00 beta=60.00 gamma=60.00
Atoms (fractional coordinates):
La  0.000  0.000  0.000
Al  0.500  0.500  0.500
Se  0.250  0.250  0.250

***

It is w that is the most stable of them.

***

w:
## LaAlSe2 (SCAN)

Data for LaAlSe2 at its PBEsol-relaxed geometry.

Summary:
* spin magnetization: 0.00 μB/f.u.
* crystal system: monoclinic

Unit cell a=4.156 b=4.155 c=5.859 alpha=90.00 beta=109.76 gamma=90.00
Atoms (fractional coordinates):
La  0.000  0.000  0.000
Al  0.658  0.500  0.576
Se  0.280  0.000  0.575
Se  0.565  0.500  0.140

***

x:
## LaAlSe2 (SCAN)

Data for LaAlSe2 at its PBEsol-relaxed geometry.

Summary:
* spin magnetization: 0.00 μB/f.u.
* crystal system: orthorhombic
* density of states at the Fermi level: 0.841 states/eV/f.u.

Unit cell a=3.688 b=3.753 c=6.794 alpha=90.00 beta=90.00 gamma=90.00
Atoms (fractional coordinates):
La  0.000  0.000  0.000
Al  0.000  0.500  0.500
Se  0.500  0.500  0.238
Se  0.500  0.500  0.762

***

y:
## LaAlSe2 (SCAN)

Data for LaAlSe2 at its PBEsol-relaxed geometry.

Summary:
* spin magnetization: 0.00 μB/f.u.
* crystal system: trigonal
* density of states at the Fermi level: 0.742 states/eV/f.u.

Unit cell a=8.844 b=8.844 c=8.844 alpha=27.97 beta=27.97 gamma=27.97
Atoms (fractional coordinates):
La  0.000  0.000  0.000
Al  0.500  0.500  0.500
Se  0.398  0.398  0.398
Se  0.602  0.602  0.602

***

It is w that is the most stable of them.

***

w:
## LaTaAl2 (SCAN)

Data for LaTaAl2 at its PBEsol-relaxed geometry.

Summary:
* spin magnetization: 0.00 μB/f.u.
* crystal system: trigonal
* density of states at the Fermi level: 2.969 states/eV/f.u.

Unit cell a=10.327 b=10.327 c=10.327 alpha=16.84 beta=16.84 gamma=16.84
Atoms (fractional coordinates):
La  0.000  0.000  0.000
Ta  0.500  0.500  0.500
Al  0.240  0.240  0.240
Al  0.760  0.760  0.760

***

x:
## LaTaAl2 (SCAN)

Data for LaTaAl2 at its PBEsol-relaxed geometry.

Summary:
* spin magnetization: 0.00 μB/f.u.
* crystal system: trigonal
* density of states at the Fermi level: 3.399 states/eV/f.u.

Unit cell a=10.463 b=10.463 c=10.463 alpha=16.49 beta=16.49 gamma=16.49
Atoms (fractional coordinates):
La  0.000  0.000  0.000
Ta  0.763  0.763  0.763
Al  0.241  0.241  0.241
Al  0.502  0.502  0.502

***

y:
## LaTaAl2 (SCAN)

Data for LaTaAl2 at its PBEsol-relaxed geometry.

Summary:
* spin magnetization: 0.00 μB/f.u.
* crystal system: orthorhombic
* density of states at the Fermi level: 2.989 states/eV/f.u.

Unit cell a=5.243 b=5.243 c=3.073 alpha=90.00 beta=90.00 gamma=109.05
Atoms (fractional coordinates):
La  0.000  0.000  0.000
Ta  0.500  0.500  0.000
Al  0.000  0.500  0.500
Al  0.500  0.000  0.500

***

z:
## LaTaAl2 (SCAN)

Data for LaTaAl2 at its PBEsol-relaxed geometry.

Summary:
* spin magnetization: 0.00 μB/f.u.
* crystal system: tetragonal
* density of states at the Fermi level: 1.114 states/eV/f.u.

Unit cell a=2.983 b=2.983 c=8.899 alpha=90.00 beta=90.00 gamma=90.00
Atoms (fractional coordinates):
La  0.000  0.000  0.000
Ta  0.000  0.000  0.500
Al  0.500  0.500  0.284
Al  0.500  0.500  0.716

***

It is z that is the most stable of them.

***

w:
## LaAl2W (SCAN)

Data for LaAl2W at its PBEsol-relaxed geometry.

Summary:
* spin magnetization: 0.00 μB/f.u.
* crystal system: cubic
* density of states at the Fermi level: 1.546 states/eV/f.u.

Unit cell a=4.731 b=4.731 c=4.731 alpha=60.00 beta=60.00 gamma=60.00
Atoms (fractional coordinates):
La  0.000  0.000  0.000
Al  0.500  0.500  0.500
Al  0.750  0.750  0.750
W  0.250  0.250  0.250

***

x:
## LaAl2W (SCAN)

Data for LaAl2W at its PBEsol-relaxed geometry.

Summary:
* spin magnetization: 0.00 μB/f.u.
* crystal system: trigonal
* density of states at the Fermi level: 2.849 states/eV/f.u.

Unit cell a=10.202 b=10.202 c=10.202 alpha=16.68 beta=16.68 gamma=16.68
Atoms (fractional coordinates):
La  0.000  0.000  0.000
Al  0.238  0.238  0.238
Al  0.762  0.762  0.762
W  0.500  0.500  0.500

***

It is x that is the most stable of them.

***

w:
## LaAlW (SCAN)

Data for LaAlW at its PBEsol-relaxed geometry.

Summary:
* spin magnetization: 2.72 μB/f.u.
* crystal system: cubic
* density of states at the Fermi level: 2.940 states/eV/f.u.

Unit cell a=4.785 b=4.785 c=4.785 alpha=60.00 beta=60.00 gamma=60.00
Atoms (fractional coordinates):
La  0.000  0.000  0.000
Al  0.250  0.250  0.250
W  0.750  0.750  0.750

***

x:
## LaAlW (SCAN)

Data for LaAlW at its PBEsol-relaxed geometry.

Summary:
* spin magnetization: 0.00 μB/f.u.
* crystal system: orthorhombic
* density of states at the Fermi level: 2.059 states/eV/f.u.

Unit cell a=5.840 b=5.840 c=5.840 alpha=147.58 beta=142.79 gamma=50.17
Atoms (fractional coordinates):
La  0.000  0.000  0.000
Al  0.287  0.287  0.000
W  0.703  0.703  0.000

***

y:
## LaAlW (SCAN)

Data for LaAlW at its PBEsol-relaxed geometry.

Summary:
* spin magnetization: 0.00 μB/f.u.
* crystal system: trigonal
* density of states at the Fermi level: 2.854 states/eV/f.u.

Unit cell a=2.950 b=2.950 c=7.908 alpha=90.00 beta=90.00 gamma=120.00
Atoms (fractional coordinates):
La  0.000  0.000  0.000
Al  0.667  0.333  0.367
W  0.333  0.667  0.639

***

It is x that is the most stable of them.

***

w:
## LaYAl (SCAN)

Data for LaYAl at its PBEsol-relaxed geometry.

Summary:
* spin magnetization: 0.66 μB/f.u.
* crystal system: trigonal
* density of states at the Fermi level: 2.874 states/eV/f.u.

Unit cell a=3.566 b=3.566 c=7.820 alpha=90.00 beta=90.00 gamma=120.00
Atoms (fractional coordinates):
La  0.000  0.000  0.000
Y  0.333  0.667  0.592
Al  0.667  0.333  0.306

***

x:
## LaYAl (SCAN)

Data for LaYAl at its PBEsol-relaxed geometry.

Summary:
* spin magnetization: 0.00 μB/f.u.
* crystal system: orthorhombic
* density of states at the Fermi level: 2.451 states/eV/f.u.

Unit cell a=5.929 b=5.929 c=5.929 alpha=146.07 beta=136.47 gamma=56.31
Atoms (fractional coordinates):
La  0.000  0.000  0.000
Y  0.706  0.706  0.000
Al  0.338  0.338  0.000

***

y:
## LaYAl (SCAN)

Data for LaYAl at its PBEsol-relaxed geometry.

Summary:
* spin magnetization: 0.01 μB/f.u.
* crystal system: tetragonal
* density of states at the Fermi level: 2.420 states/eV/f.u.

Unit cell a=7.340 b=7.340 c=7.340 alpha=152.78 beta=152.78 gamma=38.88
Atoms (fractional coordinates):
La  0.000  0.000  0.000
Y  0.708  0.708  0.000
Al  0.345  0.345  0.000

***

It is y that is the most stable of them.

***

w:
## LaZrAl2 (SCAN)

Data for LaZrAl2 at its PBEsol-relaxed geometry.

Summary:
* spin magnetization: 0.00 μB/f.u.
* crystal system: tetragonal
* density of states at the Fermi level: 3.542 states/eV/f.u.

Unit cell a=5.277 b=5.277 c=5.277 alpha=128.48 beta=128.48 gamma=75.86
Atoms (fractional coordinates):
La  0.000  0.000  0.000
Zr  0.500  0.500  0.000
Al  0.250  0.750  0.500
Al  0.750  0.250  0.500

***

x:
## LaZrAl2 (SCAN)

Data for LaZrAl2 at its PBEsol-relaxed geometry.

Summary:
* spin magnetization: 0.00 μB/f.u.
* crystal system: monoclinic
* density of states at the Fermi level: 2.968 states/eV/f.u.

Unit cell a=5.286 b=5.286 c=5.734 alpha=102.86 beta=102.86 gamma=36.84
Atoms (fractional coordinates):
La  0.000  0.000  0.000
Zr  0.500  0.500  0.500
Al  0.238  0.238  0.682
Al  0.762  0.762  0.318

***

It is w that is the most stable of them.

***

w:
## LiMgAl (SCAN)

Data for LiMgAl at its PBEsol-relaxed geometry.

Summary:
* spin magnetization: 0.03 μB/f.u.
* crystal system: orthorhombic
* density of states at the Fermi level: 0.906 states/eV/f.u.

Unit cell a=5.032 b=5.032 c=5.032 alpha=145.58 beta=130.09 gamma=62.03
Atoms (fractional coordinates):
Li  0.000  0.000  0.000
Mg  0.673  0.673  0.000
Al  0.338  0.338  0.000

***

x:
## LiMgAl (SCAN)

Data for LiMgAl at its PBEsol-relaxed geometry.

Summary:
* spin magnetization: 0.01 μB/f.u.
* crystal system: tetragonal
* density of states at the Fermi level: 1.031 states/eV/f.u.

Unit cell a=6.566 b=6.566 c=6.566 alpha=153.90 beta=153.90 gamma=37.24
Atoms (fractional coordinates):
Li  0.000  0.000  0.000
Mg  0.682  0.682  0.000
Al  0.350  0.350  0.000

***

y:
## LiMgAl (SCAN)

Data for LiMgAl at its PBEsol-relaxed geometry.

Summary:
* spin magnetization: 0.00 μB/f.u.
* crystal system: trigonal
* density of states at the Fermi level: 0.742 states/eV/f.u.

Unit cell a=4.608 b=4.608 c=2.926 alpha=90.00 beta=90.00 gamma=120.00
Atoms (fractional coordinates):
Li  0.000  0.000  0.000
Mg  0.333  0.667  0.348
Al  0.667  0.333  0.755

***

It is y that is the most stable of them.